Material: Ba2PrMnO5
Method: DFT, PBE with a Hubbard U
State: relaxed

Output
V: 668.2 Å³ per cell
energy: -251.50 eV for the cell shown

Unit cell a=3.735 b=14.602 c=12.252 alpha=90.00 beta=90.00 gamma=90.00
Space group Cmc2_1 (No. 36)
Symmetry-distinct sites (fractional):
Ba (0.000, 0.089, 0.000)
Ba (0.000, 0.145, 0.686)
Pr (0.000, 0.203, 0.398)
Mn (0.000, 0.446, 0.755)
O (0.000, 0.039, 0.304)
O (0.000, 0.275, 0.021)
O (0.000, 0.317, 0.774)
O (0.000, 0.354, 0.356)
O (0.000, 0.488, 0.122)